Material: Cd2WF11
Method: DFT, GGA+U
State: relaxed

Summary:
* spin magnetization: 2.185 Bohr magnetons per cell
* VASP energy: -119.191 eV/cell

a b c (Å): 8.427 8.427 8.427
angles (deg): 123.52 106.04 99.87
Atoms (fractional coordinates):
Cd  0.189  0.161  0.350
Cd  0.311  0.661  0.971
Cd  0.689  0.339  0.029
Cd  0.811  0.839  0.650
W  0.250  0.750  0.500
W  0.750  0.250  0.500
F  0.000  0.000  0.000
F  0.002  0.571  0.264
F  0.086  0.840  0.630
F  0.193  0.929  0.431
F  0.194  0.885  0.079
F  0.210  0.456  0.370
F  0.290  0.660  0.246
F  0.306  0.385  0.692
F  0.307  0.738  0.736
F  0.414  0.044  0.754
F  0.498  0.762  0.569
F  0.500  0.500  0.000
F  0.502  0.238  0.431
F  0.586  0.956  0.246
F  0.693  0.262  0.264
F  0.694  0.615  0.308
F  0.710  0.340  0.754
F  0.790  0.544  0.630
F  0.806  0.115  0.921
F  0.807  0.071  0.569
F  0.914  0.160  0.370
F  0.998  0.429  0.736